1.
Ta2NbF, relaxed, DFT PBE; offset from the most stable computed form = 0 meV per atom; D(E_F) = 7.50 states/eV per cell; ΔE_f (raw) = 0.2677 eV/atom; final energy = -8.644 eV/atom; magnetic moment = 0.0 μB/cell
1.0
6.4486 0.0000 0.0000
0.0000 6.4486 0.0000
0.0000 0.0000 6.4486
Ta Nb F
8 4 4
direct
0.2500 0.2500 0.2500
0.2500 0.2500 0.7500
0.2500 0.7500 0.2500
0.2500 0.7500 0.7500
0.7500 0.2500 0.2500
0.7500 0.2500 0.7500
0.7500 0.7500 0.2500
0.7500 0.7500 0.7500
0.0000 0.0000 0.0000
0.0000 0.5000 0.5000
0.5000 0.0000 0.5000
0.5000 0.5000 0.0000
0.0000 0.0000 0.5000
0.0000 0.5000 0.0000
0.5000 0.0000 0.0000
0.5000 0.5000 0.5000


2.
TaNbF2, relaxed, DFT PBE; offset from the most stable computed form = 0 meV per atom; D(E_F) = 6.36 states/eV per cell; ΔE_f (raw) = -1.0542 eV/atom; final energy = -7.470 eV/atom; magnetic moment = 0.0 μB/cell
1.0
2.8574 0.0000 0.0000
-1.4287 2.4746 0.0000
0.0000 0.0000 23.6890
Ta Nb F
3 3 6
direct
0.0000 0.0000 0.0000
0.3333 0.6667 0.6667
0.6667 0.3333 0.3333
0.0000 0.0000 0.5000
0.3333 0.6667 0.1667
0.6667 0.3333 0.8333
0.0000 0.0000 0.0989
0.0000 0.0000 0.9011
0.3333 0.6667 0.5678
0.3333 0.6667 0.7655
0.6667 0.3333 0.2345
0.6667 0.3333 0.4322


3.
TaNbF3, relaxed, DFT PBE; offset from the most stable computed form = 0 meV per atom; D(E_F) = 4.89 states/eV per cell; ΔE_f (raw) = -0.6798 eV/atom; final energy = -6.187 eV/atom; magnetic moment = 6.7 μB/cell
1.0
4.3230 0.0000 0.0000
0.0000 4.3230 0.0000
0.0000 0.0000 4.3230
Ta Nb F
1 1 3
direct
0.0000 0.0000 0.0000
0.5000 0.5000 0.5000
0.0000 0.0000 0.5000
0.0000 0.5000 0.0000
0.5000 0.0000 0.0000


4.
TaNbF2, relaxed, DFT PBE; offset from the most stable computed form = 907 meV per atom; D(E_F) = 10.48 states/eV per cell; ΔE_f (raw) = -0.1471 eV/atom; final energy = -6.563 eV/atom; magnetic moment = 0.0 μB/cell
1.0
6.0647 0.0000 0.0000
0.0000 6.0647 0.0000
0.0000 0.0000 6.0647
Ta Nb F
4 4 8
direct
0.0000 0.0000 0.0000
0.0000 0.5000 0.5000
0.5000 0.0000 0.5000
0.5000 0.5000 0.0000
0.0000 0.0000 0.5000
0.0000 0.5000 0.0000
0.5000 0.0000 0.0000
0.5000 0.5000 0.5000
0.2500 0.2500 0.2500
0.2500 0.2500 0.7500
0.2500 0.7500 0.2500
0.2500 0.7500 0.7500
0.7500 0.2500 0.2500
0.7500 0.2500 0.7500
0.7500 0.7500 0.2500
0.7500 0.7500 0.7500


5.
TaNbF2, relaxed, DFT PBE; offset from the most stable computed form = 672 meV per atom; D(E_F) = 1.81 states/eV per cell; ΔE_f (raw) = -0.3820 eV/atom; final energy = -6.798 eV/atom; magnetic moment = 0.0 μB/cell
1.0
5.1501 0.0000 0.0000
0.0000 5.1501 0.0000
0.0000 0.0000 9.1548
Ta Nb F
4 4 8
direct
0.0000 0.0000 0.0000
0.0000 0.5000 0.2500
0.5000 0.0000 0.7500
0.5000 0.5000 0.5000
0.0000 0.0000 0.5000
0.0000 0.5000 0.7500
0.5000 0.0000 0.2500
0.5000 0.5000 0.0000
0.2455 0.2500 0.1250
0.2500 0.7455 0.3750
0.2500 0.7545 0.8750
0.2545 0.2500 0.6250
0.7455 0.7500 0.6250
0.7500 0.2455 0.8750
0.7500 0.2545 0.3750
0.7545 0.7500 0.1250


6.
TaNb3F, relaxed, DFT PBE; offset from the most stable computed form = 0 meV per atom; D(E_F) = 7.37 states/eV per cell; ΔE_f (raw) = 0.0326 eV/atom; final energy = -8.754 eV/atom; magnetic moment = 0.0 μB/cell
1.0
4.3676 0.0000 0.0000
0.0000 4.3676 0.0000
0.0000 0.0000 4.3676
Ta Nb F
1 3 1
direct
0.0000 0.0000 0.0000
0.0000 0.5000 0.5000
0.5000 0.0000 0.5000
0.5000 0.5000 0.0000
0.5000 0.5000 0.5000


7.
TaNbF3, relaxed, DFT PBE; offset from the most stable computed form = 138 meV per atom; D(E_F) = 5.34 states/eV per cell; ΔE_f (raw) = -0.5413 eV/atom; final energy = -6.049 eV/atom; magnetic moment = 6.4 μB/cell
1.0
4.3571 0.0000 0.0000
0.0000 4.3571 0.0000
0.0000 0.0000 4.3571
Ta Nb F
1 1 3
direct
0.0000 0.0000 0.0000
0.5000 0.5000 0.5000
0.0000 0.5000 0.5000
0.5000 0.0000 0.5000
0.5000 0.5000 0.0000


8.
TaNb3F, relaxed, DFT PBE; offset from the most stable computed form = 1484 meV per atom; D(E_F) = 7.95 states/eV per cell; ΔE_f (raw) = 1.5168 eV/atom; final energy = -7.270 eV/atom; magnetic moment = 1.6 μB/cell
1.0
4.9613 0.0000 0.0000
0.0000 4.9613 0.0000
0.0000 0.0000 4.9613
Ta Nb F
1 3 1
direct
0.0000 0.0000 0.0000
0.0000 0.0000 0.5000
0.0000 0.5000 0.0000
0.5000 0.0000 0.0000
0.5000 0.5000 0.5000